The following is a PBE calculation of a relaxed structure of Ba7In2O2, from Alexandria via LeMat-Bulk.

CIF file:
```
data_Ba7In2O2
_symmetry_space_group_name_H-M 'C 1 2/m 1'
_symmetry_Int_Tables_number 12
_symmetry_space_group_name_Hall '-C 2y'
_cell_length_a 11.4333
_cell_length_b 13.4447
_cell_length_c 7.1572
_cell_angle_alpha 90.00
_cell_angle_beta 102.75
_cell_angle_gamma 90.00
loop_
_atom_site_label
_atom_site_type_symbol
_atom_site_fract_x
_atom_site_fract_y
_atom_site_fract_z
Ba1 Ba 0.0000 0.0000 0.0000
Ba2 Ba 0.1256 0.5000 0.7604
Ba3 Ba 0.2412 0.3444 0.2530
In1 In 0.0000 0.2812 0.5000
O1 O 0.2178 0.0000 0.9275
```

Computed properties:
Volume: 1073.1 Å³ per cell
Final energy: -3.57 eV/atom
Uncorrected formation energy: -0.943 eV/atom


The following is a PBE calculation of a relaxed structure of AlAgPdBr2, from Alexandria via LeMat-Bulk.

CIF file:
```
data_AlAgPdBr2
_symmetry_space_group_name_H-M 'P 4/m m m'
_symmetry_Int_Tables_number 123
_symmetry_space_group_name_Hall '-P 4 2'
_cell_length_a 5.2769
_cell_length_b 5.2769
_cell_length_c 5.2345
_cell_angle_alpha 90.00
_cell_angle_beta 90.00
_cell_angle_gamma 90.00
loop_
_atom_site_label
_atom_site_type_symbol
_atom_site_fract_x
_atom_site_fract_y
_atom_site_fract_z
Al1 Al 0.0000 0.0000 0.0000
Ag1 Ag 0.5000 0.5000 0.5000
Pd1 Pd 0.5000 0.5000 0.0000
Br1 Br 0.0000 0.5000 0.5000
```

Computed properties:
Volume: 145.8 Å³ per cell
Final energy: -2.63 eV/atom
Uncorrected formation energy: 0.393 eV/atom


The following is a PBE calculation of a relaxed structure of KBaSr2In, from Alexandria via LeMat-Bulk.

CIF file:
```
data_KBaSr2In
_symmetry_space_group_name_H-M 'P 4/m m m'
_symmetry_Int_Tables_number 123
_symmetry_space_group_name_Hall '-P 4 2'
_cell_length_a 6.6212
_cell_length_b 6.6212
_cell_length_c 6.8165
_cell_angle_alpha 90.00
_cell_angle_beta 90.00
_cell_angle_gamma 90.00
loop_
_atom_site_label
_atom_site_type_symbol
_atom_site_fract_x
_atom_site_fract_y
_atom_site_fract_z
K1 K 0.0000 0.0000 0.0000
Ba1 Ba 0.5000 0.5000 0.0000
Sr1 Sr 0.0000 0.5000 0.5000
In1 In 0.5000 0.5000 0.5000
```

Computed properties:
Volume: 298.8 Å³ per cell
Final energy: -1.87 eV/atom


The following is a PBE calculation of a relaxed structure of BaTa2Mo, from Alexandria via LeMat-Bulk.

CIF file:
```
data_BaTa2Mo
_symmetry_space_group_name_H-M 'C 1 2/m 1'
_symmetry_Int_Tables_number 12
_symmetry_space_group_name_Hall '-C 2y'
_cell_length_a 8.3544
_cell_length_b 3.1748
_cell_length_c 7.6999
_cell_angle_alpha 90.00
_cell_angle_beta 93.27
_cell_angle_gamma 90.00
loop_
_atom_site_label
_atom_site_type_symbol
_atom_site_fract_x
_atom_site_fract_y
_atom_site_fract_z
Ba1 Ba 0.0000 0.0000 0.0000
Ta1 Ta 0.2276 0.0000 0.6547
Mo1 Mo 0.0000 0.5000 0.5000
```

Computed properties:
Volume: 203.9 Å³ per cell
ΔE to the lowest computed polymorph: 93 kJ/mol of formula units
Final energy: -8.34 eV/atom


The following is a PBE calculation of a relaxed structure of SmSnHgBr6, from Alexandria via LeMat-Bulk.

CIF file:
```
data_SmSnHgBr6
_symmetry_space_group_name_H-M 'P 3 1 2'
_symmetry_Int_Tables_number 149
_symmetry_space_group_name_Hall 'P 3 2'
_cell_length_a 7.3311
_cell_length_b 7.3311
_cell_length_c 8.3323
_cell_angle_alpha 90.00
_cell_angle_beta 90.00
_cell_angle_gamma 120.00
loop_
_atom_site_label
_atom_site_type_symbol
_atom_site_fract_x
_atom_site_fract_y
_atom_site_fract_z
Sm1 Sm 0.0000 0.0000 0.0000
Sn1 Sn 0.3333 0.6667 0.0000
Hg1 Hg 0.6667 0.3333 0.5000
Br1 Br 0.0296 0.3377 0.8028
```

Computed properties:
Volume: 387.9 Å³ per cell
Final energy: -3.20 eV/atom
Uncorrected formation energy: -1.082 eV/atom


The following is a PBE calculation of a relaxed structure of AcZn2Co2P, from Alexandria via LeMat-Bulk.

CIF file:
```
data_AcZn2Co2P
_symmetry_space_group_name_H-M 'P 4/m m m'
_symmetry_Int_Tables_number 123
_symmetry_space_group_name_Hall '-P 4 2'
_cell_length_a 4.2628
_cell_length_b 4.2628
_cell_length_c 5.9527
_cell_angle_alpha 90.00
_cell_angle_beta 90.00
_cell_angle_gamma 90.00
loop_
_atom_site_label
_atom_site_type_symbol
_atom_site_fract_x
_atom_site_fract_y
_atom_site_fract_z
Ac1 Ac 0.0000 0.0000 0.0000
Zn1 Zn 0.5000 0.5000 0.2504
Co1 Co 0.0000 0.5000 0.5000
P1 P 0.0000 0.0000 0.5000
```

Computed properties:
Volume: 108.2 Å³ per cell
Final energy: -4.73 eV/atom


The following is a PBE calculation of a relaxed structure of Ac3CuAu2, from Alexandria via LeMat-Bulk.

CIF file:
```
data_Ac3CuAu2
_symmetry_space_group_name_H-M 'C 1 2/c 1'
_symmetry_Int_Tables_number 15
_symmetry_space_group_name_Hall '-C 2yc'
_cell_length_a 15.2103
_cell_length_b 6.3329
_cell_length_c 8.5026
_cell_angle_alpha 90.00
_cell_angle_beta 106.60
_cell_angle_gamma 90.00
loop_
_atom_site_label
_atom_site_type_symbol
_atom_site_fract_x
_atom_site_fract_y
_atom_site_fract_z
Ac1 Ac 0.0000 0.0015 0.2500
Ac2 Ac 0.1628 0.4985 0.0816
Cu1 Cu 0.0000 0.4989 0.7500
Au1 Au 0.1681 0.0014 0.5840
```

Computed properties:
Volume: 784.9 Å³ per cell
Final energy: -4.31 eV/atom


The following is a PBE calculation of a relaxed structure of ZrFe2Cl8, from Alexandria via LeMat-Bulk.

CIF file:
```
data_ZrFe2Cl8
_symmetry_space_group_name_H-M 'C 1 2/m 1'
_symmetry_Int_Tables_number 12
_symmetry_space_group_name_Hall '-C 2y'
_cell_length_a 14.4912
_cell_length_b 7.8241
_cell_length_c 6.0237
_cell_angle_alpha 90.00
_cell_angle_beta 91.49
_cell_angle_gamma 90.00
loop_
_atom_site_label
_atom_site_type_symbol
_atom_site_fract_x
_atom_site_fract_y
_atom_site_fract_z
Zr1 Zr 0.0000 0.0000 0.0000
Fe1 Fe 0.1556 0.0000 0.3748
Cl1 Cl 0.0720 0.2313 0.2383
Cl2 Cl 0.1409 0.0000 0.7610
Cl3 Cl 0.2016 0.5000 0.7138
```

Computed properties:
Volume: 682.7 Å³ per cell
Final energy: -4.80 eV/atom
Uncorrected formation energy: -1.144 eV/atom


The following is a PBE calculation of a relaxed structure of Cd3As2, from Alexandria via LeMat-Bulk.

CIF file:
```
data_Cd3As2
_symmetry_space_group_name_H-M 'R -3 m'
_symmetry_Int_Tables_number 166
_symmetry_space_group_name_Hall '-R 3 2"'
_cell_length_a 4.1606
_cell_length_b 4.1606
_cell_length_c 23.7006
_cell_angle_alpha 90.00
_cell_angle_beta 90.00
_cell_angle_gamma 120.00
loop_
_atom_site_label
_atom_site_type_symbol
_atom_site_fract_x
_atom_site_fract_y
_atom_site_fract_z
Cd1 Cd 0.0000 0.0000 0.0000
Cd2 Cd 0.0000 0.0000 0.2084
As1 As 0.0000 0.0000 0.4019
```

Computed properties:
Volume: 355.3 Å³ per cell
Final energy: -2.32 eV/atom


The following is a PBE calculation of a relaxed structure of KFe2As, from Alexandria via LeMat-Bulk.

CIF file:
```
data_KFe2As
_symmetry_space_group_name_H-M 'P 1 2/m 1'
_symmetry_Int_Tables_number 10
_symmetry_space_group_name_Hall '-P 2y'
_cell_length_a 3.2539
_cell_length_b 4.2520
_cell_length_c 6.6377
_cell_angle_alpha 90.00
_cell_angle_beta 98.75
_cell_angle_gamma 90.00
loop_
_atom_site_label
_atom_site_type_symbol
_atom_site_fract_x
_atom_site_fract_y
_atom_site_fract_z
K1 K 0.0000 0.0000 0.0000
Fe1 Fe 0.2847 0.5000 0.6242
As1 As 0.5000 0.0000 0.5000
```

Computed properties:
Volume: 90.8 Å³ per cell
Final energy: -5.19 eV/atom


The following is a PBE calculation of a relaxed structure of TlHgSb, from Alexandria via LeMat-Bulk.

CIF file:
```
data_TlHgSb
_symmetry_space_group_name_H-M 'P 3 m 1'
_symmetry_Int_Tables_number 156
_symmetry_space_group_name_Hall 'P 3 -2"'
_cell_length_a 3.3892
_cell_length_b 3.3892
_cell_length_c 9.1236
_cell_angle_alpha 90.00
_cell_angle_beta 90.00
_cell_angle_gamma 120.00
loop_
_atom_site_label
_atom_site_type_symbol
_atom_site_fract_x
_atom_site_fract_y
_atom_site_fract_z
Tl1 Tl 0.0000 0.0000 0.0000
Hg1 Hg 0.6667 0.3333 0.3484
Sb1 Sb 0.3333 0.6667 0.6943
```

Computed properties:
Volume: 90.8 Å³ per cell
Final energy: -2.16 eV/atom
Uncorrected formation energy: 0.100 eV/atom


The following is a PBE calculation of a relaxed structure of Te2IrW, from Alexandria via LeMat-Bulk.

CIF file:
```
data_Te2IrW
_symmetry_space_group_name_H-M 'I -4 m 2'
_symmetry_Int_Tables_number 119
_symmetry_space_group_name_Hall 'I -4 -2'
_cell_length_a 4.0500
_cell_length_b 4.0500
_cell_length_c 9.4897
_cell_angle_alpha 90.00
_cell_angle_beta 90.00
_cell_angle_gamma 90.00
loop_
_atom_site_label
_atom_site_type_symbol
_atom_site_fract_x
_atom_site_fract_y
_atom_site_fract_z
Te1 Te 0.0000 0.0000 0.0000
Te2 Te 0.0000 0.5000 0.2500
Ir1 Ir 0.0000 0.0000 0.5000
W1 W 0.0000 0.5000 0.7500
```

Computed properties:
Volume: 155.7 Å³ per cell
ΔE to the lowest computed polymorph: 291 kJ/mol of formula units
Final energy: -6.13 eV/atom
Uncorrected formation energy: 0.893 eV/atom


The following is a PBE calculation of a relaxed structure of TbYSiHg, from Alexandria via LeMat-Bulk.

CIF file:
```
data_TbYSiHg
_symmetry_space_group_name_H-M 'F -4 3 m'
_symmetry_Int_Tables_number 216
_symmetry_space_group_name_Hall 'F -4 2 3'
_cell_length_a 7.2524
_cell_length_b 7.2524
_cell_length_c 7.2524
_cell_angle_alpha 90.00
_cell_angle_beta 90.00
_cell_angle_gamma 90.00
loop_
_atom_site_label
_atom_site_type_symbol
_atom_site_fract_x
_atom_site_fract_y
_atom_site_fract_z
Tb1 Tb 0.0000 0.0000 0.0000
Y1 Y 0.0000 0.0000 0.5000
Si1 Si 0.2500 0.2500 0.2500
Hg1 Hg 0.2500 0.2500 0.7500
```

Computed properties:
Volume: 381.5 Å³ per cell
Final energy: -4.68 eV/atom
Uncorrected formation energy: -0.478 eV/atom


The following is a PBE calculation of a relaxed structure of Ba2SrTa, from Alexandria via LeMat-Bulk.

CIF file:
```
data_Ba2SrTa
_symmetry_space_group_name_H-M 'I m m m'
_symmetry_Int_Tables_number 71
_symmetry_space_group_name_Hall '-I 2 2'
_cell_length_a 3.9153
_cell_length_b 6.3847
_cell_length_c 13.5636
_cell_angle_alpha 90.00
_cell_angle_beta 90.00
_cell_angle_gamma 90.00
loop_
_atom_site_label
_atom_site_type_symbol
_atom_site_fract_x
_atom_site_fract_y
_atom_site_fract_z
Ba1 Ba 0.0000 0.0000 0.1973
Sr1 Sr 0.0000 0.5000 0.0000
Ta1 Ta 0.0000 0.5000 0.5000
```

Computed properties:
Volume: 339.1 Å³ per cell
ΔE to the lowest computed polymorph: 25 kJ/mol of formula units
Final energy: -3.45 eV/atom


The following is a PBE calculation of a relaxed structure of NaBAu2Br, from Alexandria via LeMat-Bulk.

CIF file:
```
data_NaBAu2Br
_symmetry_space_group_name_H-M 'P 4/m m m'
_symmetry_Int_Tables_number 123
_symmetry_space_group_name_Hall '-P 4 2'
_cell_length_a 5.1183
_cell_length_b 5.1183
_cell_length_c 4.9084
_cell_angle_alpha 90.00
_cell_angle_beta 90.00
_cell_angle_gamma 90.00
loop_
_atom_site_label
_atom_site_type_symbol
_atom_site_fract_x
_atom_site_fract_y
_atom_site_fract_z
Na1 Na 0.0000 0.0000 0.0000
B1 B 0.0000 0.0000 0.5000
Au1 Au 0.0000 0.5000 0.0000
Br1 Br 0.5000 0.5000 0.5000
```

Computed properties:
Volume: 128.6 Å³ per cell
Final energy: -1.80 eV/atom
Uncorrected formation energy: 1.446 eV/atom


The following is a PBE calculation of a relaxed structure of Hg3Pd4Au, from Alexandria via LeMat-Bulk.

CIF file:
```
data_Hg3Pd4Au
_symmetry_space_group_name_H-M 'P m m a'
_symmetry_Int_Tables_number 51
_symmetry_space_group_name_Hall '-P 2a 2a'
_cell_length_a 9.5649
_cell_length_b 6.1567
_cell_length_c 4.8146
_cell_angle_alpha 90.00
_cell_angle_beta 90.00
_cell_angle_gamma 90.00
loop_
_atom_site_label
_atom_site_type_symbol
_atom_site_fract_x
_atom_site_fract_y
_atom_site_fract_z
Hg1 Hg 0.0000 0.0000 0.0000
Hg2 Hg 0.2500 0.0000 0.4355
Hg3 Hg 0.2500 0.5000 0.4281
Pd1 Pd 0.0000 0.2520 0.5000
Pd2 Pd 0.2500 0.2516 0.9253
Au1 Au 0.0000 0.5000 0.0000
```

Computed properties:
Volume: 283.5 Å³ per cell
ΔE to the lowest computed polymorph: 0 kJ/mol of formula units
Final energy: -3.28 eV/atom


The following is a PBE calculation of a relaxed structure of BaAgSbTe2, from Alexandria via LeMat-Bulk.

CIF file:
```
data_BaAgSbTe2
_symmetry_space_group_name_H-M 'P 4/m m m'
_symmetry_Int_Tables_number 123
_symmetry_space_group_name_Hall '-P 4 2'
_cell_length_a 5.7038
_cell_length_b 5.7038
_cell_length_c 5.2804
_cell_angle_alpha 90.00
_cell_angle_beta 90.00
_cell_angle_gamma 90.00
loop_
_atom_site_label
_atom_site_type_symbol
_atom_site_fract_x
_atom_site_fract_y
_atom_site_fract_z
Ba1 Ba 0.0000 0.0000 0.0000
Ag1 Ag 0.5000 0.5000 0.5000
Sb1 Sb 0.5000 0.5000 0.0000
Te1 Te 0.0000 0.5000 0.5000
```

Computed properties:
Volume: 171.8 Å³ per cell
ΔE to the lowest computed polymorph: 0 kJ/mol of formula units
Final energy: -3.40 eV/atom
Uncorrected formation energy: -0.364 eV/atom


The following is a PBE calculation of a relaxed structure of Sr2YIr, from Alexandria via LeMat-Bulk.

CIF file:
```
data_Sr2YIr
_symmetry_space_group_name_H-M 'I m m m'
_symmetry_Int_Tables_number 71
_symmetry_space_group_name_Hall '-I 2 2'
_cell_length_a 3.6250
_cell_length_b 4.4853
_cell_length_c 17.4473
_cell_angle_alpha 90.00
_cell_angle_beta 90.00
_cell_angle_gamma 90.00
loop_
_atom_site_label
_atom_site_type_symbol
_atom_site_fract_x
_atom_site_fract_y
_atom_site_fract_z
Sr1 Sr 0.0000 0.0000 0.1543
Y1 Y 0.0000 0.5000 0.0000
Ir1 Ir 0.0000 0.5000 0.5000
```

Computed properties:
Volume: 283.7 Å³ per cell
ΔE to the lowest computed polymorph: 33 kJ/mol of formula units
Final energy: -4.88 eV/atom


The following is a PBE calculation of a relaxed structure of TePt, from Alexandria via LeMat-Bulk.

CIF file:
```
data_TePt
_symmetry_space_group_name_H-M 'C m c m'
_symmetry_Int_Tables_number 63
_symmetry_space_group_name_Hall '-C 2c 2'
_cell_length_a 5.4043
_cell_length_b 7.5994
_cell_length_c 4.4417
_cell_angle_alpha 90.00
_cell_angle_beta 90.00
_cell_angle_gamma 90.00
loop_
_atom_site_label
_atom_site_type_symbol
_atom_site_fract_x
_atom_site_fract_y
_atom_site_fract_z
Te1 Te 0.0000 0.1971 0.2500
Pt1 Pt 0.0000 0.3890 0.7500
```

Computed properties:
Volume: 182.4 Å³ per cell
Final energy: -4.87 eV/atom
Uncorrected formation energy: -0.275 eV/atom


The following is a PBE calculation of a relaxed structure of DyErS2, from Alexandria via LeMat-Bulk.

CIF file:
```
data_DyErS2
_symmetry_space_group_name_H-M 'C 1 2/m 1'
_symmetry_Int_Tables_number 12
_symmetry_space_group_name_Hall '-C 2y'
_cell_length_a 6.7215
_cell_length_b 3.8970
_cell_length_c 6.7186
_cell_angle_alpha 90.00
_cell_angle_beta 109.68
_cell_angle_gamma 90.00
loop_
_atom_site_label
_atom_site_type_symbol
_atom_site_fract_x
_atom_site_fract_y
_atom_site_fract_z
Dy1 Dy 0.0000 0.0000 0.0000
Er1 Er 0.0000 0.5000 0.5000
S1 S 0.2487 0.0000 0.7459
```

Computed properties:
Volume: 165.7 Å³ per cell
ΔE to the lowest computed polymorph: 0 kJ/mol of formula units
Final energy: -6.33 eV/atom
Uncorrected formation energy: -1.976 eV/atom